First-principles (PBEsol) data for a relaxed structure of HfCdSn2Sb, as listed in Alexandria via LeMat-Bulk.

Calculated values
Size of the total moment, μB/atom: 0.000
Formation energy (no corrections), eV/f.u.: 5.5
Total DFT energy (no corrections), eV/atom: -3.850
Space-group type: P4/mmm, No. 123

a b c (Å): 5.4994 5.4994 5.1546
angles (deg): 90.00 90.00 90.00
With the nearest neighbours (Å) after each atom.
Sites, in units of the cell vectors:
Hf (0.0000, 0.0000, 0.0000)  8 Sn 3.77, 4 Cd 3.89
Cd (0.5000, 0.5000, 0.0000)  2 Sb 2.58
Sn (0.0000, 0.5000, 0.5000)  2 Sb 2.75
Sn (0.5000, 0.0000, 0.5000)  2 Sb 2.75
Sb (0.5000, 0.5000, 0.5000)  2 Cd 2.58, 4 Sn 2.75

---

First-principles (PBEsol) data for a relaxed structure of HfScCd3, as listed in Alexandria via LeMat-Bulk.

Calculated values
Size of the total moment, μB/atom: 0.000
Distance to the lowest polymorph of the same formula, meV/atom: 0.0
Formation energy from the elements, meV per atom: 959
Total DFT energy (no corrections), eV/atom: -3.180
Space-group type: Pm-3m, No. 221

a b c (Å): 5.2521 5.2521 5.2521
angles (deg): 90.00 90.00 90.00
With the nearest neighbours (Å) after each atom.
Sites, in units of the cell vectors:
Hf (0.0000, 0.0000, 0.0000)  6 Cd 2.63
Sc (0.5000, 0.5000, 0.5000)  12 Cd 3.71
Cd (0.0000, 0.0000, 0.5000)  2 Hf 2.63
Cd (0.0000, 0.5000, 0.0000)  2 Hf 2.63
Cd (0.5000, 0.0000, 0.0000)  2 Hf 2.63